Run P
ZnGaHg2I | PBE | relaxed

Cell lengths 5.277, 5.277, 5.344 Å; angles 90.00, 90.00, 90.00 degrees
Positions (direct):
Zn 0.000 0.000 0.000
Hg 0.000 0.500 0.000
Hg 0.500 0.000 0.000
Ga 0.000 0.000 0.500
I 0.500 0.500 0.500

Output
- V (Å³/atom) = 29.8

Run Q
ZnGaHg2I | PBE | relaxed

Cell lengths 5.425, 5.425, 4.987 Å; angles 90.00, 90.00, 90.00 degrees
Positions (direct):
Ga 0.000 0.000 0.000
Hg 0.000 0.500 0.000
Hg 0.500 0.000 0.000
Zn 0.000 0.000 0.500
I 0.500 0.500 0.500

Output
- V (Å³/atom) = 29.4

Stability summary: most stable run P, least stable run Q.

Run P
In8GaHg6 | PBE | relaxed

Cell lengths 8.249, 8.249, 8.550 Å; angles 61.16, 61.16, 60.00 degrees
Positions (direct):
Hg 0.074 0.743 0.812
Hg 0.743 0.371 0.812
Hg 0.629 0.926 0.188
Hg 0.257 0.629 0.188
Hg 0.371 0.074 0.812
Hg 0.926 0.257 0.188
In 0.331 0.331 0.008
In 0.669 0.669 0.992
In 0.775 0.109 0.638
In 0.478 0.775 0.638
In 0.225 0.891 0.362
In 0.109 0.478 0.638
In 0.891 0.522 0.362
In 0.522 0.225 0.362
Ga 0.000 0.000 0.000

Output
- V (Å³/atom) = 27.9

Run Q
In8GaHg6 | PBE | relaxed

Cell lengths 7.507, 7.595, 8.701 Å; angles 55.31, 83.53, 79.56 degrees
Positions (direct):
In 0.509 0.575 0.655
In 0.900 0.283 0.138
In 0.100 0.717 0.862
In 0.357 0.111 0.813
In 0.491 0.425 0.345
In 0.216 0.823 0.328
In 0.643 0.889 0.187
In 0.784 0.177 0.672
Hg 0.623 0.697 0.930
Hg 0.987 0.516 0.310
Hg 0.377 0.303 0.070
Hg 0.013 0.484 0.690
Hg 0.249 0.073 0.498
Hg 0.751 0.927 0.502
Ga 0.000 0.000 0.000

Output
- V (Å³/atom) = 26.7

Stability summary: most stable run Q, least stable run P.

Run P
In4Ga4Hg | PBE | relaxed

Cell lengths 6.771, 6.771, 9.688 Å; angles 90.00, 90.00, 90.00 degrees
Positions (direct):
In 0.738 0.500 0.771
In 0.000 0.762 0.271
In 0.500 0.262 0.229
In 0.762 0.000 0.729
In 0.500 0.738 0.229
In 0.000 0.238 0.271
In 0.262 0.500 0.771
In 0.238 0.000 0.729
Ga 0.798 0.500 0.064
Ga 0.298 0.000 0.436
Ga 0.500 0.798 0.936
Ga 0.000 0.298 0.564
Ga 0.702 0.000 0.436
Ga 0.000 0.702 0.564
Ga 0.202 0.500 0.064
Ga 0.500 0.202 0.936
Hg 0.000 0.000 0.000
Hg 0.500 0.500 0.500

Output
- V (Å³/atom) = 24.7

Run Q
In4Ga4Hg | PBE | relaxed

Cell lengths 4.147, 8.591, 6.809 Å; angles 72.49, 67.93, 84.43 degrees
Positions (direct):
Ga 0.409 0.579 0.669
Ga 0.591 0.421 0.331
Ga 0.961 0.350 0.696
Ga 0.039 0.650 0.304
In 0.730 0.705 0.911
In 0.331 0.906 0.399
In 0.669 0.094 0.601
In 0.270 0.295 0.089
Hg 0.000 0.000 0.000

Output
- V (Å³/atom) = 23.8

Stability summary: most stable run Q, least stable run P.

Run P
InGa2Hg | PBE | relaxed

Cell lengths 4.493, 4.487, 4.487 Å; angles 90.00, 90.00, 90.00 degrees
Positions (direct):
Ga 0.000 0.500 0.000
Ga 0.000 0.000 0.500
Hg 0.500 0.500 0.500
In 0.500 0.000 0.000

Output
- V (Å³/atom) = 22.6

Run Q
InGa2Hg | PBE | relaxed

Cell lengths 4.605, 6.279, 7.094 Å; angles 90.00, 90.00, 107.10 degrees
Positions (direct):
Ga 0.772 0.565 0.570
Ga 0.228 0.435 0.430
Ga 0.772 0.565 0.930
Ga 0.228 0.435 0.070
Hg 0.382 0.847 0.750
Hg 0.618 0.153 0.250
In 0.003 0.159 0.750
In 0.997 0.841 0.250

Output
- V (Å³/atom) = 24.5

Stability summary: most stable run P, least stable run Q.

Run P
InGa2Hg | PBE | relaxed

Cell lengths 3.525, 3.525, 8.944 Å; angles 78.64, 78.64, 60.00 degrees
Positions (direct):
In 0.500 0.500 0.501
Ga 0.082 0.082 0.755
Ga 0.252 0.252 0.245
Hg 0.667 0.667 0.999

Output
- V (Å³/atom) = 23.4

Run Q
InGa2Hg | PBE | relaxed

Cell lengths 7.947, 7.947, 6.374 Å; angles 51.44, 51.44, 90.00 degrees
Positions (direct):
In 0.500 0.500 0.000
In 0.250 0.750 0.500
Hg 0.000 0.000 0.000
Hg 0.750 0.250 0.500
Ga 0.375 0.366 0.750
Ga 0.634 0.125 0.250
Ga 0.116 0.625 0.250
Ga 0.875 0.884 0.750

Output
- V (Å³/atom) = 23.8

Run R
InGa2Hg | PBE | relaxed

Cell lengths 5.316, 5.564, 6.976 Å; angles 90.00, 90.00, 114.59 degrees
Positions (direct):
Ga 0.251 0.505 0.064
Ga 0.749 0.495 0.564
Ga 0.251 0.505 0.436
Ga 0.749 0.495 0.936
Hg 0.942 0.875 0.250
Hg 0.058 0.125 0.750
In 0.450 0.880 0.750
In 0.550 0.120 0.250

Output
- V (Å³/atom) = 23.5

Run S
InGa2Hg | PBE | relaxed

Cell lengths 5.050, 5.050, 5.050 Å; angles 60.00, 60.00, 60.00 degrees
Positions (direct):
Ga 0.250 0.250 0.250
Ga 0.750 0.750 0.750
Hg 0.500 0.500 0.500
In 0.000 0.000 0.000

Output
- V (Å³/atom) = 22.8

Stability summary: most stable run R, least stable run Q.

Run P
In6GaHg12 | PBE | relaxed

Cell lengths 8.739, 8.739, 8.739 Å; angles 110.27, 110.27, 110.27 degrees
Positions (direct):
Hg 0.619 0.932 0.409
Hg 0.409 0.619 0.932
Hg 0.068 0.591 0.381
Hg 0.096 0.155 0.737
Hg 0.381 0.068 0.591
Hg 0.904 0.845 0.263
Hg 0.591 0.381 0.068
Hg 0.155 0.737 0.096
Hg 0.845 0.263 0.904
Hg 0.737 0.096 0.155
Hg 0.932 0.409 0.619
Hg 0.263 0.904 0.845
In 0.201 0.306 0.468
In 0.799 0.694 0.532
In 0.306 0.468 0.201
In 0.468 0.201 0.306
In 0.694 0.532 0.799
In 0.532 0.799 0.694
Ga 0.000 0.000 0.000

Output
- V (Å³/atom) = 26.2

Run Q
In6GaHg12 | PBE | relaxed

Cell lengths 8.105, 8.105, 8.105 Å; angles 86.94, 86.94, 86.94 degrees
Positions (direct):
Hg 0.194 0.524 0.521
Hg 0.041 0.369 0.155
Hg 0.959 0.631 0.845
Hg 0.806 0.476 0.479
Hg 0.631 0.845 0.959
Hg 0.476 0.479 0.806
Hg 0.524 0.521 0.194
Hg 0.155 0.041 0.369
Hg 0.479 0.806 0.476
Hg 0.521 0.194 0.524
Hg 0.845 0.959 0.631
Hg 0.369 0.155 0.041
In 0.705 0.182 0.190
In 0.295 0.818 0.810
In 0.190 0.705 0.182
In 0.182 0.190 0.705
In 0.810 0.295 0.818
In 0.818 0.810 0.295
Ga 0.000 0.000 0.000

Output
- V (Å³/atom) = 27.9

Stability summary: most stable run P, least stable run Q.

Run P
InGaHg3 | PBE | relaxed

Cell lengths 5.309, 5.309, 5.309 Å; angles 90.00, 90.00, 90.00 degrees
Positions (direct):
Hg 0.000 0.500 0.000
Hg 0.000 0.000 0.500
Hg 0.500 0.000 0.000
In 0.500 0.500 0.500
Ga 0.000 0.000 0.000

Output
- V (Å³/atom) = 29.9

Run Q
InGaHg3 | PBE | relaxed

Cell lengths 3.666, 9.131, 15.079 Å; angles 90.00, 90.00, 90.00 degrees
Positions (direct):
Hg 0.250 0.709 0.762
Hg 0.750 0.791 0.262
Hg 0.750 0.437 0.616
Hg 0.250 0.643 0.966
Hg 0.250 0.063 0.116
Hg 0.750 0.937 0.884
Hg 0.750 0.357 0.034
Hg 0.250 0.143 0.534
Hg 0.750 0.291 0.238
Hg 0.250 0.209 0.738
Hg 0.250 0.563 0.384
Hg 0.750 0.857 0.466
Ga 0.750 0.324 0.429
Ga 0.250 0.176 0.929
Ga 0.750 0.824 0.071
Ga 0.250 0.676 0.571
In 0.250 0.051 0.331
In 0.250 0.551 0.169
In 0.750 0.449 0.831
In 0.750 0.949 0.669

Output
- V (Å³/atom) = 25.2

Run R
InGaHg3 | PBE | relaxed

Cell lengths 5.601, 5.601, 5.601 Å; angles 90.00, 90.00, 90.00 degrees
Positions (direct):
Hg 0.000 0.500 0.000
Hg 0.000 0.000 0.500
Hg 0.500 0.000 0.000
In 0.000 0.000 0.000
Ga 0.500 0.500 0.500

Output
- V (Å³/atom) = 35.1

Stability summary: most stable run Q, least stable run R.

Run P
In3GaHg | PBE | relaxed

Cell lengths 5.414, 5.414, 5.414 Å; angles 90.00, 90.00, 90.00 degrees
Positions (direct):
In 0.000 0.500 0.000
In 0.500 0.000 0.000
In 0.000 0.000 0.500
Ga 0.000 0.000 0.000
Hg 0.500 0.500 0.500

Output
- V (Å³/atom) = 31.7

Run Q
In3GaHg | PBE | relaxed

Cell lengths 5.845, 6.474, 8.455 Å; angles 111.20, 90.44, 116.63 degrees
Positions (direct):
In 0.969 0.443 0.669
In 0.294 0.095 0.677
In 0.000 0.000 0.000
In 0.500 0.000 0.000
In 0.706 0.905 0.323
In 0.031 0.557 0.331
Hg 0.633 0.773 0.636
Hg 0.367 0.227 0.364
Ga 0.746 0.500 0.000
Ga 0.254 0.500 0.000

Output
- V (Å³/atom) = 26.1

Stability summary: most stable run Q, least stable run P.